Entry 1:
The following is a PBE calculation of a relaxed structure of HfZr3Co2, from OQMD via LeMat-Bulk.

Output
Calculated total energy (eV per atom): -8.5651
Formation energy from the elements (eV per atom): -0.263
Total moment (μB per cell): 0.07

a b c (Å): 5.4708 8.8589 8.9574
angles (deg): 90.00 90.00 90.00
With the nearest neighbours (Å) after each atom.
Space group Fmm2 (No. 42)
Inequivalent atoms, fractional coordinates:
Hf1 0.0000 0.0000 0.0000 x4  4 Co 2.69
Zr1 0.0000 0.0000 0.6546 x4  4 Co 2.70
Zr2 0.0000 0.1716 0.3262 x8  4 Co 2.70-2.73
Co1 0.2500 0.2500 0.0745 x8  2 Hf 2.69, 6 Zr 2.70-2.73, 2 Co 2.74

***

Entry 2:
The following is a PBE calculation of a relaxed structure of Nb2Fe3W4N3, from OQMD via LeMat-Bulk.

Output
Calculated total energy (eV per atom): -10.3424
Total moment (μB per cell): 15.07

a b c (Å): 8.7388 5.0602 13.6616
angles (deg): 90.00 102.35 90.00
With the nearest neighbours (Å) after each atom.
Space group C2/c (No. 15)
Inequivalent atoms, fractional coordinates:
Nb1 0.0384 0.0819 0.3694 x8  3 N 2.34-2.43
Fe1 0.0000 0.3902 0.7500 x4  4 Fe 2.53-2.54, 4 W 2.54-2.55
Fe2 0.2374 0.3225 0.2508 x8  4 Fe 2.53-2.54, 4 W 2.54-2.57
W1 0.1154 0.4202 0.5937 x8  3 N 2.10-2.18
W2 0.2169 0.4157 0.9062 x8  3 N 2.10-2.18
N1 0.0754 0.2262 0.0000 x8  4 W 2.11-2.18, 2 Nb 2.34
N2 0.2500 0.2500 0.5000 x4  4 W 2.10

***

Entry 3:
The following is a PBE calculation of a relaxed structure of Dy2Tl2O5, from OQMD via LeMat-Bulk.

Output
Calculated total energy (eV per atom): -6.3712
Distance to the lowest polymorph of the same formula (meV/atom): 0
Total moment (μB per cell): 0.01

a b c (Å): 4.1552 4.1552 8.4955
angles (deg): 90.00 90.00 90.00
With the nearest neighbours (Å) after each atom.
Space group P4/mmm (No. 123)
Inequivalent atoms, fractional coordinates:
Dy1 0.0000 0.0000 0.2463 x2  5 O 2.16-2.19
Tl1 0.5000 0.5000 0.0000 x1  8 O 2.50
Tl2 0.5000 0.5000 0.5000 x1  4 O 2.94
O1 0.0000 0.0000 0.5000 x1  2 Dy 2.16
O2 0.0000 0.5000 0.1634 x4  2 Dy 2.19

***

Entry 4:
The following is a PBE calculation of a relaxed structure of TaTcPb, from OQMD via LeMat-Bulk.

Output
Calculated total energy (eV per atom): -7.7697
Distance to the lowest polymorph of the same formula (meV/atom): 307
Total moment (μB per cell): 0.00

a b c (Å): 6.4209 6.4209 6.4209
angles (deg): 90.00 90.00 90.00
With the nearest neighbours (Å) after each atom.
Space group F-43m (No. 216)
Inequivalent atoms, fractional coordinates:
Ta1 0.0000 0.0000 0.0000 x4  4 Pb 2.78, 4 Tc 2.78
Tc1 0.2500 0.2500 0.2500 x4  4 Ta 2.78
Pb1 0.2500 0.2500 0.7500 x4  4 Ta 2.78

***

Entry 5:
The following is a PBE calculation of a relaxed structure of AcCdPt, from OQMD via LeMat-Bulk.

Output
Calculated total energy (eV per atom): -4.4314
Distance to the lowest polymorph of the same formula (meV/atom): 102
Formation energy from the elements (eV per atom): -0.746
Total moment (μB per cell): 0.01

a b c (Å): 7.0608 7.0608 7.0608
angles (deg): 90.00 90.00 90.00
With the nearest neighbours (Å) after each atom.
Space group F-43m (No. 216)
Inequivalent atoms, fractional coordinates:
Ac1 0.0000 0.0000 0.0000 x4  4 Pt 3.06
Cd1 0.0000 0.0000 0.5000 x4  4 Pt 3.06
Pt1 0.2500 0.2500 0.2500 x4  4 Cd 3.06, 4 Ac 3.06

***

Entry 6:
The following is a PBE calculation of a relaxed structure of YAuSO, from OQMD via LeMat-Bulk.

Output
Calculated total energy (eV per atom): -6.6089
Distance to the lowest polymorph of the same formula (meV/atom): 43
Total moment (μB per cell): 0.00

a b c (Å): 5.6033 9.0706 5.6200
angles (deg): 90.00 90.00 90.00
With the nearest neighbours (Å) after each atom.
Space group Pcca (No. 54)
Inequivalent atoms, fractional coordinates:
Y1 0.0000 0.1212 0.2500 x4  4 O 2.27
Au1 0.2500 0.5000 0.2408 x4  2 S 2.41
S1 0.0000 0.2832 0.7500 x4  2 Au 2.41
O1 0.2500 0.0000 0.0003 x4  4 Y 2.27

***

Entry 7:
The following is a PBE calculation of a relaxed structure of SmZnB, from OQMD via LeMat-Bulk.

Output
Calculated total energy (eV per atom): -3.4537
Distance to the lowest polymorph of the same formula (meV/atom): 862
Total moment (μB per cell): 0.00

a b c (Å): 6.3518 6.3518 6.3518
angles (deg): 90.00 90.00 90.00
With the nearest neighbours (Å) after each atom.
Space group F-43m (No. 216)
Inequivalent atoms, fractional coordinates:
Sm1 0.0000 0.0000 0.0000 x4  4 Zn 2.75, 4 B 2.75
Zn1 0.2500 0.2500 0.2500 x4  4 Sm 2.75
B1 0.2500 0.2500 0.7500 x4  4 Sm 2.75

***

Entry 8:
The following is a PBE calculation of a relaxed structure of KCuTcIr, from OQMD via LeMat-Bulk.

Output
Calculated total energy (eV per atom): -4.5022
Distance to the lowest polymorph of the same formula (meV/atom): 454
Total moment (μB per cell): 12.80

a b c (Å): 6.4768 6.4768 6.4768
angles (deg): 90.00 90.00 90.00
With the nearest neighbours (Å) after each atom.
Space group F-43m (No. 216)
Inequivalent atoms, fractional coordinates:
K1 0.0000 0.0000 0.0000 x4  4 Tc 2.80, 4 Ir 2.80
Cu1 0.0000 0.0000 0.5000 x4  4 Ir 2.80, 4 Tc 2.80
Tc1 0.2500 0.2500 0.7500 x4  4 K 2.80, 4 Cu 2.80
Ir1 0.2500 0.2500 0.2500 x4  4 K 2.80, 4 Cu 2.80

***

Entry 9:
The following is a PBE calculation of a relaxed structure of DyBH8SO10, from OQMD via LeMat-Bulk.

Output
Calculated total energy (eV per atom): -5.9947
Total moment (μB per cell): 0.01

a b c (Å): 5.8521 6.7432 9.7341
angles (deg): 79.86 76.83 88.38
With the nearest neighbours (Å) after each atom.
Space group P-1 (No. 2)
Inequivalent atoms, fractional coordinates:
Dy1 0.0822 0.3198 0.2758 x2  8 O 2.26-2.43
B1 0.4167 0.6647 0.7314 x2  4 O 1.46-1.50
H1 0.1784 0.8054 0.1171 x2  1 O 0.99
H2 0.2231 0.7405 0.9188 x2  1 O 1.01
H3 0.2403 0.4069 0.9558 x2  1 O 1.00
H4 0.2610 0.0141 0.0164 x2  1 O 0.99
H5 0.4148 0.7212 0.5148 x2  1 O 0.99
H6 0.4337 0.2552 0.0066 x2  1 O 1.00
H7 0.4687 0.6222 0.2876 x2  1 O 0.98
H8 0.5002 0.0274 0.3013 x2  1 O 0.99
S1 0.1324 0.2035 0.6542 x2  4 O 1.46-1.49
O1 0.0213 0.3393 0.7555 x2  1 S 1.49
O2 0.0273 0.0022 0.7149 x2  1 S 1.47
O3 0.0845 0.2767 0.5131 x2  1 S 1.46
O4 0.2096 0.6385 0.8566 x2  1 H 1.01
O5 0.2643 0.2892 0.0300 x2  2 H 1.00
O6 0.2885 0.8678 0.0272 x2  2 H 0.99
O7 0.3094 0.6744 0.6091 x2  1 H 0.99
O8 0.3903 0.1973 0.6466 x2  1 S 1.49, 1 H 1.67
O9 0.4202 0.5044 0.2535 x2  1 H 0.98
O10 0.4361 0.1621 0.2736 x2  1 H 0.99

***

Entry 10:
The following is a PBE calculation of a relaxed structure of NdNbMo, from OQMD via LeMat-Bulk.

Output
Calculated total energy (eV per atom): -7.6571
Distance to the lowest polymorph of the same formula (meV/atom): 0
Formation energy from the elements (eV per atom): 0.911
Total moment (μB per cell): 0.02

a b c (Å): 6.5765 6.5765 6.5765
angles (deg): 90.00 90.00 90.00
With the nearest neighbours (Å) after each atom.
Space group F-43m (No. 216)
Inequivalent atoms, fractional coordinates:
Nd1 0.0000 0.0000 0.0000 x4  4 Nb 2.85
Nb1 0.2500 0.2500 0.7500 x4  4 Mo 2.85, 4 Nd 2.85
Mo1 0.0000 0.0000 0.5000 x4  4 Nb 2.85

***

Entry 11:
The following is a PBE calculation of a relaxed structure of Ho3Cd3In2Ga, from OQMD via LeMat-Bulk.

Output
Calculated total energy (eV per atom): -3.1827
Total moment (μB per cell): 0.00

a b c (Å): 7.4482 7.4482 4.5119
angles (deg): 90.00 90.00 120.00
With the nearest neighbours (Å) after each atom.
Space group P-62m (No. 189)
Inequivalent atoms, fractional coordinates:
Ho1 0.0000 0.4173 0.0000 x3  1 Ga 3.11, 4 In 3.18, 2 Cd 3.40
Cd1 0.0000 0.7587 0.5000 x3  2 Ga 2.88, 2 In 2.89, 2 Cd 3.11
In1 0.3333 0.6667 0.5000 x2  3 Cd 2.89, 6 Ho 3.18
Ga1 0.0000 0.0000 0.0000 x1  6 Cd 2.88, 3 Ho 3.11

***

Entry 12:
The following is a PBE calculation of a relaxed structure of Dy3Y2Lu2Ni2Te2, from OQMD via LeMat-Bulk.

Output
Calculated total energy (eV per atom): -5.5240
Distance to the lowest polymorph of the same formula (meV/atom): 1
Total moment (μB per cell): 0.04

a b c (Å): 3.8407 15.5457 9.5266
angles (deg): 90.00 90.00 90.00
With the nearest neighbours (Å) after each atom.
Space group Imm2 (No. 44)
Inequivalent atoms, fractional coordinates:
Dy1 0.0000 0.0000 0.0000 x2  3 Te 3.16-3.20
Dy2 0.0000 0.3528 0.2687 x4  2 Ni 2.83, 2 Te 3.15
Y1 0.0000 0.1317 0.4175 x4  2 Ni 2.80, 1 Te 3.12
Lu1 0.0000 0.3153 0.6189 x4  2 Ni 2.77
Ni1 0.0000 0.2377 0.9285 x4  2 Lu 2.77, 2 Y 2.80, 2 Dy 2.83
Te1 0.0000 0.0000 0.6642 x2  2 Y 3.12, 5 Dy 3.15-3.20
Te2 0.0000 0.5000 0.7632 x2  2 Dy 3.16, 4 Y 3.17, 2 Lu 3.18

***

Entry 13:
The following is a PBE calculation of a relaxed structure of Sm2AuO4, from OQMD via LeMat-Bulk.

Output
Calculated total energy (eV per atom): -6.7495
Total moment (μB per cell): 7.99

a b c (Å): 9.8178 9.8178 9.8178
angles (deg): 90.00 90.00 90.00
With the nearest neighbours (Å) after each atom.
Space group Fd-3m (No. 227, origin choice 2)
Inequivalent atoms, fractional coordinates:
Sm1 0.0000 0.0000 0.0000 x16  6 O 2.34
Au1 0.1250 0.1250 0.6250 x8  4 O 2.34
O1 0.0125 0.0125 0.2375 x32  1 Au 2.34, 3 Sm 2.34

***

Entry 14:
The following is a PBE calculation of a relaxed structure of HfAl2Cu, from OQMD via LeMat-Bulk.

Output
Calculated total energy (eV per atom): -5.3557
Total moment (μB per cell): 0.00

a b c (Å): 6.3905 6.3905 6.3905
angles (deg): 90.00 90.00 90.00
With the nearest neighbours (Å) after each atom.
Space group F-43m (No. 216)
Inequivalent atoms, fractional coordinates:
Hf1 0.0000 0.0000 0.0000 x4  4 Cu 2.77, 4 Al 2.77
Al1 0.0000 0.0000 0.5000 x4  4 Al 2.77, 4 Cu 2.77
Al2 0.2500 0.2500 0.7500 x4  4 Hf 2.77, 4 Al 2.77
Cu1 0.2500 0.2500 0.2500 x4  4 Hf 2.77, 4 Al 2.77

***

Entry 15:
The following is a PBE calculation of a relaxed structure of SmFeNiP2, from OQMD via LeMat-Bulk.

Output
Calculated total energy (eV per atom): -6.8351
Total moment (μB per cell): 3.16

a b c (Å): 3.8858 3.8858 9.6398
angles (deg): 90.00 90.00 90.00
With the nearest neighbours (Å) after each atom.
Space group I-4m2 (No. 119)
Inequivalent atoms, fractional coordinates:
Sm1 0.0000 0.0000 0.0000 x2  8 P 3.02, 4 Fe 3.10, 4 Ni 3.10
Fe1 0.0000 0.5000 0.7500 x2  4 P 2.26
Ni1 0.0000 0.5000 0.2500 x2  4 P 2.26
P1 0.0000 0.0000 0.3706 x4  2 Fe 2.26, 2 Ni 2.26, 1 P 2.49

***

Entry 16:
The following is a PBE calculation of a relaxed structure of Y3Hf3Sb2Os, from OQMD via LeMat-Bulk.

Output
Calculated total energy (eV per atom): -7.9536
Distance to the lowest polymorph of the same formula (meV/atom): 322
Total moment (μB per cell): 0.05

a b c (Å): 8.0390 8.0390 3.8295
angles (deg): 90.00 90.00 120.00
With the nearest neighbours (Å) after each atom.
Space group P-62m (No. 189)
Inequivalent atoms, fractional coordinates:
Y1 0.0000 0.2521 0.0000 x3  2 Os 2.79, 2 Sb 3.06
Hf1 0.0000 0.6095 0.5000 x3  4 Sb 3.13, 1 Os 3.14, 6 Y 3.36-3.45
Sb1 0.3333 0.6667 0.0000 x2  3 Y 3.06, 6 Hf 3.13
Os1 0.0000 0.0000 0.5000 x1  6 Y 2.79

***

Entry 17:
The following is a PBE calculation of a relaxed structure of CsPaAs, from OQMD via LeMat-Bulk.

Output
Calculated total energy (eV per atom): -3.6901
Total moment (μB per cell): 11.71

a b c (Å): 7.2972 7.2972 7.2972
angles (deg): 90.00 90.00 90.00
With the nearest neighbours (Å) after each atom.
Space group F-43m (No. 216)
Inequivalent atoms, fractional coordinates:
Cs1 0.0000 0.0000 0.0000 x4  4 Pa 3.16, 4 As 3.16
Pa1 0.2500 0.2500 0.2500 x4  4 Cs 3.16
As1 0.2500 0.2500 0.7500 x4  4 Cs 3.16

***

Entry 18:
The following is a PBE calculation of a relaxed structure of Li2Ta2GaGeOs2, from OQMD via LeMat-Bulk.

Output
Calculated total energy (eV per atom): -7.5143
Total moment (μB per cell): 0.00

a b c (Å): 4.3534 4.3534 6.1518
angles (deg): 90.00 90.00 90.00
With the nearest neighbours (Å) after each atom.
Space group P-4m2 (No. 115)
Inequivalent atoms, fractional coordinates:
Li1 0.0000 0.5000 0.2494 x2  4 Ta 2.66-2.67, 2 Ga 2.66, 2 Ge 2.67
Ta1 0.0000 0.0000 0.0000 x1  4 Li 2.66, 4 Os 2.68
Ta2 0.5000 0.5000 0.5000 x1  4 Os 2.65, 4 Li 2.67
Ga1 0.5000 0.5000 0.0000 x1  4 Li 2.66, 4 Os 2.68
Ge1 0.0000 0.0000 0.5000 x1  4 Os 2.65, 4 Li 2.67
Os1 0.0000 0.5000 0.7471 x2  2 Ge 2.65, 4 Ta 2.65-2.68, 2 Ga 2.68

***

Entry 19:
The following is a PBE calculation of a relaxed structure of BaGd2Se4, from OQMD via LeMat-Bulk.

Output
Calculated total energy (eV per atom): -5.5785
Total moment (μB per cell): 0.00

a b c (Å): 12.8464 4.2416 15.2956
angles (deg): 90.00 90.00 90.00
With the nearest neighbours (Å) after each atom.
Space group Pnma (No. 62)
Inequivalent atoms, fractional coordinates:
Ba1 0.2415 0.2500 0.1635 x4  8 Se 3.34-3.54
Gd1 0.0673 0.2500 0.3918 x4  6 Se 2.86-2.92
Gd2 0.0783 0.2500 0.8995 x4  6 Se 2.86-2.93
Se1 0.0228 0.7500 0.7829 x4  3 Gd 2.86-2.91
Se2 0.0840 0.2500 0.5782 x4  3 Gd 2.86-2.91
Se3 0.1280 0.7500 0.0248 x4  3 Gd 2.89-2.93
Se4 0.2075 0.7500 0.3336 x4  3 Gd 2.92-2.93

***

Entry 20:
The following is a PBE calculation of a relaxed structure of SmGdSi4Ni2, from OQMD via LeMat-Bulk.

Output
Calculated total energy (eV per atom): -6.1167
Total moment (μB per cell): 0.01

a b c (Å): 4.0134 4.0645 16.3498
angles (deg): 90.00 90.00 90.00
With the nearest neighbours (Å) after each atom.
Space group Amm2 (No. 38)
Inequivalent atoms, fractional coordinates:
Sm1 0.0000 0.0000 0.0000 x2  10 Si 3.05-3.14, 4 Ni 3.10
Gd1 0.5000 0.0000 0.2117 x2  10 Si 3.05-3.14, 4 Ni 3.10
Si1 0.0000 0.0000 0.3550 x2  4 Ni 2.32-2.33
Si2 0.0000 0.0000 0.6462 x2  1 Ni 2.27, 2 Si 2.40
Si3 0.5000 0.0000 0.5656 x2  1 Ni 2.29, 2 Si 2.40
Si4 0.5000 0.0000 0.8555 x2  4 Ni 2.31-2.33
Ni1 0.0000 0.0000 0.7853 x2  5 Si 2.27-2.33
Ni2 0.5000 0.0000 0.4257 x2  5 Si 2.29-2.33